Record 1
Entry from Alexandria via LeMat-Bulk: NdV2Fe after structural relaxation (PBE).

Cell: 3.8620 3.8620 17.4648 Å, 90.00 90.00 120.00°
Fractional coordinates of all 12 atoms:
Nd  0.0000  0.0000  0.0000
Nd  0.3333  0.6667  0.6667
Nd  0.6667  0.3333  0.3333
V  0.0000  0.0000  0.2071
V  0.0000  0.0000  0.7929
V  0.3333  0.6667  0.4595
V  0.3333  0.6667  0.8738
V  0.6667  0.3333  0.1262
V  0.6667  0.3333  0.5405
Fe  0.0000  0.0000  0.5000
Fe  0.3333  0.6667  0.1667
Fe  0.6667  0.3333  0.8333

Results
calculated volume: 18.8 Å³/atom
energy of formation from the pure elements: 289.6 meV/atom
spin magnetization: 0.00 μB/cell

Record 2
Entry from Alexandria via LeMat-Bulk: LaZr5 after structural relaxation (PBE).

Cell: 6.2498 6.2498 6.2498 Å, 54.30 54.30 54.30°
Fractional coordinates of all 6 atoms:
La  0.0000  0.0000  0.0000
Zr  0.1862  0.5000  0.8138
Zr  0.3317  0.3317  0.3317
Zr  0.5000  0.8138  0.1862
Zr  0.6683  0.6683  0.6683
Zr  0.8138  0.1862  0.5000

Results
calculated volume: 24.9 Å³/atom
energy of formation from the pure elements: 116.1 meV/atom
spin magnetization: 0.00 μB/cell

- Which value of energy of formation from the pure elements does entry 1 give?
  289.6 meV/atom